# La2HfHg2, relaxed, DFT GGA-PBE
data_La2HfHg2
_space_group_name_H-M_alt 'P 4/m b m'
_space_group_IT_number 127
_space_group_name_Hall '-P 4 2ab'
_cell_length_a 8.8466
_cell_length_b 8.8466
_cell_length_c 3.7677
_cell_angle_alpha 90.00
_cell_angle_beta 90.00
_cell_angle_gamma 90.00
loop_
_atom_site_label
_atom_site_type_symbol
_atom_site_fract_x
_atom_site_fract_y
_atom_site_fract_z
La1 La 0.1677 0.3323 0.0000
Hf1 Hf 0.0000 0.0000 0.0000
Hg1 Hg 0.1315 0.6315 0.5000
# Energy of formation = 0.087 eV per atom
# ρ = 9.66 g cm⁻³
# Density of states at the Fermi level = 4.9 states/eV/f.u.
# M_tot = 0.001 μB/atom